Computed, not measured: a PBEsol-optimized structure of PdSI3 at the SCAN level of DFT.

Properties
DFT total energy ... -30.037 eV per atom
E_form (uncorrected) ... 2.44 eV per formula unit
Magnetization ... 2.7 μB per formula unit
SG ... Pm-3m

Lattice parameters (Å, degrees): 5.3415 5.3415 5.3415 90.00 90.00 90.00
Element x y z (fractional)
Pd 0.0000 0.0000 0.0000
S 0.5000 0.5000 0.5000
I 0.0000 0.0000 0.5000
I 0.0000 0.5000 0.0000
I 0.5000 0.0000 0.0000

---

Computed, not measured: a PBEsol-optimized structure of LaMgMn at the SCAN level of DFT.

Properties
DFT total energy ... -21.891 eV per atom
Magnetization ... 3.8 μB per formula unit
SG ... P3m1

Lattice parameters (Å, degrees): 3.2369 3.2369 7.6588 90.00 90.00 120.00
Element x y z (fractional)
La 0.0000 0.0000 0.0000
Mg 0.3333 0.6667 0.6067
Mn 0.6667 0.3333 0.3212

---

Computed, not measured: a PBEsol-optimized structure of AlHgRu at the SCAN level of DFT.

Properties
DFT total energy ... -36.334 eV per atom
Magnetization ... 0.0 μB per formula unit
SG ... F-43m

Lattice parameters (Å, degrees): 4.3027 4.3027 4.3027 60.00 60.00 60.00
Element x y z (fractional)
Al 0.0000 0.0000 0.0000
Hg 0.7500 0.7500 0.7500
Ru 0.5000 0.5000 0.5000

---

Computed, not measured: a PBEsol-optimized structure of Ag2RuRh at the SCAN level of DFT.

Properties
DFT total energy ... -32.493 eV per atom
Energy above the lowest structure with this stoichiometry ... 0 meV/atom
Magnetization ... 1.3 μB per formula unit
SG ... Cmm2

Lattice parameters (Å, degrees): 2.6963 2.6963 9.4850 90.00 90.00 118.77
Element x y z (fractional)
Ag 0.0000 0.0000 0.0000
Ag 0.5000 0.5000 0.2604
Ru 0.0000 0.0000 0.5176
Rh 0.5000 0.5000 0.7445

---

Computed, not measured: a PBEsol-optimized structure of Fe2PPb at the SCAN level of DFT.

Properties
DFT total energy ... -30.024 eV per atom
Magnetization ... 5.2 μB per formula unit
SG ... P2/m

Lattice parameters (Å, degrees): 4.1572 3.1220 5.0398 90.00 113.64 90.00
Element x y z (fractional)
Fe 0.0000 0.0000 0.0000
Fe 0.0000 0.5000 0.5000
P 0.5000 0.0000 0.5000
Pb 0.5000 0.5000 0.0000

---

Computed, not measured: a PBEsol-optimized structure of La3W at the SCAN level of DFT.

Properties
DFT total energy ... -49.109 eV per atom
Magnetization ... 0.0 μB per formula unit
SG ... R-3m

Lattice parameters (Å, degrees): 10.4828 10.4828 10.4828 19.27 19.27 19.27
Element x y z (fractional)
La 0.0000 0.0000 0.0000
La 0.2363 0.2363 0.2363
La 0.7637 0.7637 0.7637
W 0.5000 0.5000 0.5000

---

Computed, not measured: a PBEsol-optimized structure of ZrCdFe2Sn at the SCAN level of DFT.

Properties
DFT total energy ... -25.638 eV per atom
Magnetization ... 4.6 μB per formula unit
SG ... P4/mmm

Lattice parameters (Å, degrees): 4.6787 4.6787 5.0021 90.00 90.00 90.00
Element x y z (fractional)
Zr 0.0000 0.0000 0.0000
Cd 0.5000 0.5000 0.0000
Fe 0.0000 0.5000 0.5000
Fe 0.5000 0.0000 0.5000
Sn 0.5000 0.5000 0.5000

---

Computed, not measured: a PBEsol-optimized structure of Tl2MoOs at the SCAN level of DFT.

Properties
DFT total energy ... -61.790 eV per atom
Magnetization ... 0.0 μB per formula unit
SG ... C2/m

Lattice parameters (Å, degrees): 5.5320 5.5320 3.0055 104.44 104.44 115.79
Element x y z (fractional)
Tl 0.0000 0.5000 0.0000
Tl 0.5000 0.0000 0.0000
Mo 0.0000 0.0000 0.5000
Os 0.5000 0.5000 0.5000

---

Computed, not measured: a PBEsol-optimized structure of ScCr3Rh at the SCAN level of DFT.

Properties
DFT total energy ... -19.840 eV per atom
Magnetization ... 9.9 μB per formula unit
SG ... Pm-3m

Lattice parameters (Å, degrees): 4.5699 4.5699 4.5699 90.00 90.00 90.00
Element x y z (fractional)
Sc 0.0000 0.0000 0.0000
Cr 0.0000 0.5000 0.5000
Cr 0.5000 0.0000 0.5000
Cr 0.5000 0.5000 0.0000
Rh 0.5000 0.5000 0.5000

---

Computed, not measured: a PBEsol-optimized structure of SrLaTlAs2O8 at the SCAN level of DFT.

Properties
DFT total energy ... -19.823 eV per atom
E_form (uncorrected) ... -29.72 eV per formula unit
Magnetization ... 0.0 μB per formula unit
SG ... P3_2

Lattice parameters (Å, degrees): 7.3670 7.3670 13.6162 90.00 90.00 120.00
Element x y z (fractional)
Sr 0.0015 0.4987 0.0000
Sr 0.4972 0.9985 0.3333
Sr 0.5013 0.5028 0.6667
La 0.4949 0.0014 0.8309
La 0.5066 0.5051 0.1642
La 0.9986 0.4934 0.4976
Tl 0.0026 0.9914 0.5979
Tl 0.0086 0.0112 0.2645
Tl 0.9888 0.9974 0.9312
As 0.0017 0.4927 0.2532
As 0.4910 0.9983 0.5866
As 0.4942 0.0010 0.0769
As 0.5068 0.5058 0.4103
As 0.5073 0.5090 0.9199
As 0.9990 0.4932 0.7436
O 0.1305 0.4216 0.6625
O 0.1343 0.6968 0.3329
O 0.1441 0.4247 0.1779
O 0.1451 0.6981 0.8209
O 0.2806 0.8559 0.5112
O 0.2911 0.8695 0.9958
O 0.3019 0.4470 0.4876
O 0.3032 0.4375 0.9996
O 0.4183 0.1318 0.6659
O 0.4331 0.1459 0.1540
O 0.4340 0.3003 0.3304
O 0.4443 0.3038 0.8424
O 0.5530 0.8549 0.1543
O 0.5625 0.8657 0.6663
O 0.5753 0.7194 0.8446
O 0.5784 0.7089 0.3292
O 0.6962 0.1406 0.5091
O 0.6997 0.1337 0.9971
O 0.7128 0.5669 0.4873
O 0.7135 0.5817 0.9993
O 0.8541 0.2872 0.8206
O 0.8594 0.5557 0.1758
O 0.8663 0.5660 0.6637
O 0.8682 0.2865 0.3326

---

Computed, not measured: a PBEsol-optimized structure of PbN2Cl at the SCAN level of DFT.

Properties
DFT total energy ... -23.424 eV per atom
E_form (uncorrected) ... 8.65 eV per formula unit
Energy above the lowest structure with this stoichiometry ... 183 meV/atom
Magnetization ... 0.0 μB per formula unit
SG ... R-3m

Lattice parameters (Å, degrees): 7.2495 7.2495 7.2495 25.12 25.12 25.12
Element x y z (fractional)
Pb 0.0000 0.0000 0.0000
N 0.1156 0.1156 0.1156
N 0.8844 0.8844 0.8844
Cl 0.5000 0.5000 0.5000

---

Computed, not measured: a PBEsol-optimized structure of TiBeCu2Br at the SCAN level of DFT.

Properties
DFT total energy ... -12.639 eV per atom
E_form (uncorrected) ... 7.05 eV per formula unit
Magnetization ... 0.7 μB per formula unit
SG ... P4/mmm

Lattice parameters (Å, degrees): 4.6634 4.6634 4.7759 90.00 90.00 90.00
Element x y z (fractional)
Ti 0.0000 0.0000 0.0000
Be 0.0000 0.0000 0.5000
Cu 0.0000 0.5000 0.0000
Cu 0.5000 0.0000 0.0000
Br 0.5000 0.5000 0.5000